First-principles (GGA-PBE) data for a relaxed structure of InHPd2Pt, as listed in Alexandria via LeMat-Bulk.

```
InHPd2Pt
1.0
-0.199 -4.080 -0.489
3.773 -0.375 1.595
-1.596 -0.365 3.692
Pt In Pd H
1 1 2 1
Cartesian
-0.798 -0.182 1.846
0.989 -2.410 2.399
-0.099 -2.040 -0.244
1.887 -0.187 0.797
0.000 0.000 0.000
```

Computed properties:
polymorph energy (0 for the lowest one) = 0 meV/atom
density = 12727 kg/m³